[1]
Computed, not measured: a relaxed Tb2Dy6HoTh crystal at the PBE-GGA level of DFT.

- Size of the total moment: 0.000 μB/cell
- Space-group type: C2/c, No. 15
- Formation energy: 0.15 eV per atom

```
Tb2Dy6HoTh
1.0
4.595 -7.446 0.000
4.595 7.446 0.000
-1.030 0.000 9.379
Tb Dy Ho Th
4 12 2 2
direct
0.201 0.300 0.052
0.300 0.201 0.552
0.700 0.799 0.448
0.799 0.700 0.948
0.015 0.571 0.185
0.119 0.761 0.559
0.239 0.881 0.941
0.292 0.515 0.385
0.429 0.985 0.315
0.485 0.708 0.115
0.515 0.292 0.885
0.571 0.015 0.685
0.708 0.485 0.615
0.761 0.119 0.059
0.881 0.239 0.441
0.985 0.429 0.815
0.409 0.591 0.750
0.591 0.409 0.250
0.031 0.969 0.250
0.969 0.031 0.750
```

[2]
Computed, not measured: a relaxed TbDy2Ho6Th3 crystal at the PBE-GGA level of DFT.

- Size of the total moment: 0.000 μB/cell
- Space-group type: C2/m, No. 12
- Formation energy: 0.02 eV per atom

```
TbDy2Ho6Th3
1.0
3.080 -5.332 0.000
3.080 5.332 0.000
-2.055 0.000 11.493
Tb Dy Ho Th
1 2 6 3
direct
0.000 0.000 0.000
0.333 0.667 0.000
0.667 0.333 0.000
0.084 0.418 0.253
0.249 0.249 0.746
0.418 0.084 0.253
0.582 0.916 0.747
0.751 0.751 0.254
0.916 0.582 0.747
0.167 0.833 0.500
0.500 0.500 0.500
0.833 0.167 0.500
```

[3]
Computed, not measured: a relaxed Tb2DyHo2Th crystal at the PBE-GGA level of DFT.

- Size of the total moment: 0.000 μB/cell
- Space-group type: P2_1/m, No. 11
- Formation energy: 0.17 eV per atom

```
Tb2DyHo2Th
1.0
6.592 0.000 0.000
0.000 6.685 0.000
-1.049 0.000 8.713
Tb Dy Ho Th
4 2 4 2
direct
0.184 0.001 0.181
0.184 0.499 0.181
0.816 0.501 0.819
0.816 0.999 0.819
0.345 0.250 0.860
0.655 0.750 0.140
0.289 0.750 0.834
0.420 0.750 0.492
0.580 0.250 0.508
0.711 0.250 0.166
0.087 0.250 0.517
0.913 0.750 0.483
```

[4]
Computed, not measured: a relaxed Tb6DyHo3Th2 crystal at the PBE-GGA level of DFT.

- Size of the total moment: 0.000 μB/cell
- Space-group type: C2/m, No. 12
- Formation energy: 0.03 eV per atom

```
Tb6DyHo3Th2
1.0
3.081 -5.331 0.000
3.081 5.331 0.000
-2.055 0.000 11.606
Tb Dy Ho Th
6 1 3 2
direct
0.080 0.417 0.752
0.247 0.247 0.249
0.417 0.080 0.752
0.583 0.920 0.248
0.753 0.753 0.751
0.920 0.583 0.248
0.500 0.500 0.000
0.000 0.000 0.500
0.334 0.666 0.500
0.666 0.334 0.500
0.167 0.833 0.000
0.833 0.167 0.000
```

[5]
Computed, not measured: a relaxed Tb2DyHo6Th crystal at the PBE-GGA level of DFT.

- Size of the total moment: 0.000 μB/cell
- Space-group type: C2/c, No. 15
- Formation energy: 0.15 eV per atom

```
Tb2DyHo6Th
1.0
4.598 -7.466 0.000
4.598 7.466 0.000
-0.892 0.000 9.293
Tb Dy Ho Th
4 2 12 2
direct
0.197 0.299 0.447
0.299 0.197 0.947
0.701 0.803 0.053
0.803 0.701 0.553
0.090 0.910 0.250
0.910 0.090 0.750
0.017 0.789 0.888
0.070 0.515 0.685
0.211 0.983 0.612
0.264 0.621 0.060
0.379 0.736 0.440
0.485 0.930 0.815
0.515 0.070 0.185
0.621 0.264 0.560
0.736 0.379 0.940
0.789 0.017 0.388
0.930 0.485 0.315
0.983 0.211 0.112
0.467 0.533 0.750
0.533 0.467 0.250
```

[6]
Computed, not measured: a relaxed TbDy6HoTh2 crystal at the PBE-GGA level of DFT.

- Size of the total moment: 0.000 μB/cell
- Space-group type: C2/c, No. 15
- Formation energy: 0.15 eV per atom

```
TbDy6HoTh2
1.0
4.454 -7.362 0.000
4.454 7.362 0.000
-2.124 0.000 9.834
Tb Dy Ho Th
2 12 2 4
direct
0.010 0.990 0.750
0.990 0.010 0.250
0.023 0.573 0.678
0.113 0.737 0.051
0.263 0.887 0.449
0.307 0.509 0.883
0.427 0.977 0.822
0.491 0.693 0.617
0.509 0.307 0.383
0.573 0.023 0.178
0.693 0.491 0.117
0.737 0.113 0.551
0.887 0.263 0.949
0.977 0.427 0.322
0.403 0.597 0.250
0.597 0.403 0.750
0.182 0.274 0.543
0.274 0.182 0.043
0.726 0.818 0.957
0.818 0.726 0.457
```

[7]
Computed, not measured: a relaxed TbDyHo3Th crystal at the PBE-GGA level of DFT.

- Size of the total moment: 0.000 μB/cell
- Space-group type: C2/m, No. 12
- Formation energy: 0.20 eV per atom

```
TbDyHo3Th
1.0
10.918 -2.706 0.000
10.918 2.706 0.000
-1.052 0.000 6.636
Tb Dy Ho Th
2 2 6 2
direct
0.132 0.132 0.458
0.868 0.868 0.542
0.169 0.169 0.021
0.831 0.831 0.979
0.027 0.027 0.773
0.276 0.276 0.691
0.336 0.336 0.239
0.664 0.664 0.761
0.724 0.724 0.309
0.973 0.973 0.227
0.433 0.433 0.826
0.567 0.567 0.174
```

[8]
Computed, not measured: a relaxed Tb6DyHoTh2 crystal at the PBE-GGA level of DFT.

- Size of the total moment: 0.000 μB/cell
- Space-group type: C2/c, No. 15
- Formation energy: 0.15 eV per atom

```
Tb6DyHoTh2
1.0
4.462 -7.365 0.000
4.462 7.365 0.000
-2.209 0.000 9.890
Tb Dy Ho Th
12 2 2 4
direct
0.022 0.575 0.177
0.113 0.738 0.551
0.262 0.887 0.949
0.308 0.508 0.382
0.425 0.978 0.323
0.492 0.692 0.118
0.508 0.308 0.882
0.575 0.022 0.677
0.692 0.492 0.618
0.738 0.113 0.051
0.887 0.262 0.449
0.978 0.425 0.823
0.010 0.990 0.250
0.990 0.010 0.750
0.403 0.597 0.750
0.597 0.403 0.250
0.182 0.272 0.043
0.272 0.182 0.543
0.728 0.818 0.457
0.818 0.728 0.957
```

[9]
Computed, not measured: a relaxed Tb2DyHo6Th3 crystal at the PBE-GGA level of DFT.

- Size of the total moment: 0.000 μB/cell
- Space-group type: C2/m, No. 12
- Formation energy: 0.02 eV per atom

```
Tb2DyHo6Th3
1.0
3.081 -5.335 0.000
3.081 5.335 0.000
-2.055 0.000 11.496
Tb Dy Ho Th
2 1 6 3
direct
0.167 0.833 0.000
0.833 0.167 0.000
0.500 0.500 0.000
0.082 0.416 0.746
0.251 0.251 0.254
0.416 0.082 0.746
0.584 0.918 0.254
0.749 0.749 0.746
0.918 0.584 0.254
0.000 0.000 0.500
0.333 0.667 0.500
0.667 0.333 0.500
```

[10]
Computed, not measured: a relaxed TbDyHo2Th crystal at the PBE-GGA level of DFT.

- Size of the total moment: 0.000 μB/cell
- Space-group type: P2/c, No. 13
- Formation energy: 0.33 eV per atom

```
TbDyHo2Th
1.0
8.477 0.000 0.000
0.000 6.367 0.000
-0.835 0.000 6.230
Tb Dy Ho Th
2 2 4 2
direct
0.000 0.000 0.000
0.000 0.000 0.500
0.500 0.179 0.250
0.500 0.821 0.750
0.313 0.307 0.710
0.313 0.693 0.210
0.687 0.307 0.790
0.687 0.693 0.290
0.000 0.447 0.250
0.000 0.553 0.750
```

[11]
Computed, not measured: a relaxed Tb5DyHoTh2 crystal at the PBE-GGA level of DFT.

- Size of the total moment: 0.001 μB/cell
- Space-group type: I4/mcm, No. 140
- Formation energy: 0.34 eV per atom

```
Tb5DyHoTh2
1.0
-4.366 4.366 7.807
4.366 -4.366 7.807
4.366 4.366 -7.807
Tb Dy Ho Th
10 2 2 4
direct
0.000 0.000 0.000
0.071 0.571 0.922
0.149 0.071 0.500
0.351 0.851 0.922
0.429 0.351 0.500
0.500 0.500 0.000
0.571 0.649 0.500
0.649 0.149 0.078
0.851 0.929 0.500
0.929 0.429 0.078
0.250 0.250 0.000
0.750 0.750 0.000
0.250 0.750 0.500
0.750 0.250 0.500
0.120 0.380 0.500
0.380 0.880 0.260
0.620 0.120 0.740
0.880 0.620 0.500
```

[12]
Computed, not measured: a relaxed TbDy5HoTh2 crystal at the PBE-GGA level of DFT.

- Size of the total moment: 0.000 μB/cell
- Space-group type: I4/mcm, No. 140
- Formation energy: 0.34 eV per atom

```
TbDy5HoTh2
1.0
-4.356 4.356 7.780
4.356 -4.356 7.780
4.356 4.356 -7.780
Tb Dy Ho Th
2 10 2 4
direct
0.250 0.750 0.500
0.750 0.250 0.500
0.000 0.000 0.000
0.070 0.570 0.921
0.149 0.070 0.500
0.351 0.851 0.921
0.430 0.351 0.500
0.500 0.500 0.000
0.570 0.649 0.500
0.649 0.149 0.079
0.851 0.930 0.500
0.930 0.430 0.079
0.250 0.250 0.000
0.750 0.750 0.000
0.120 0.380 0.500
0.380 0.880 0.260
0.620 0.120 0.740
0.880 0.620 0.500
```

[13]
Computed, not measured: a relaxed Tb6Dy3HoTh2 crystal at the PBE-GGA level of DFT.

- Size of the total moment: 0.000 μB/cell
- Space-group type: C2/m, No. 12
- Formation energy: 0.02 eV per atom

```
Tb6Dy3HoTh2
1.0
3.083 -5.334 0.000
3.083 5.334 0.000
-2.058 0.000 11.614
Tb Dy Ho Th
6 3 1 2
direct
0.080 0.417 0.752
0.247 0.247 0.248
0.417 0.080 0.752
0.583 0.920 0.248
0.753 0.753 0.752
0.920 0.583 0.248
0.000 0.000 0.500
0.334 0.666 0.500
0.666 0.334 0.500
0.500 0.500 0.000
0.167 0.833 0.000
0.833 0.167 0.000
```

[14]
Computed, not measured: a relaxed TbDy2HoTh crystal at the PBE-GGA level of DFT.

- Size of the total moment: 0.000 μB/cell
- Space-group type: P2/c, No. 13
- Formation energy: 0.33 eV per atom

```
TbDy2HoTh
1.0
8.486 0.000 0.000
0.000 6.352 0.000
-0.782 0.000 6.247
Tb Dy Ho Th
2 4 2 2
direct
0.000 0.000 0.000
0.000 0.000 0.500
0.313 0.305 0.212
0.313 0.695 0.712
0.687 0.305 0.288
0.687 0.695 0.788
0.500 0.180 0.750
0.500 0.820 0.250
0.000 0.448 0.750
0.000 0.552 0.250
```

[15]
Computed, not measured: a relaxed Tb5Dy2HoTh crystal at the PBE-GGA level of DFT.

- Size of the total moment: 0.000 μB/cell
- Space-group type: Cmc2_1, No. 36
- Formation energy: 0.16 eV per atom

```
Tb5Dy2HoTh
1.0
2.853 -10.773 0.000
2.853 10.773 0.000
0.000 0.000 9.692
Tb Dy Ho Th
10 4 2 2
direct
0.015 0.985 0.500
0.272 0.728 0.194
0.304 0.696 0.800
0.398 0.602 0.474
0.469 0.531 0.774
0.531 0.469 0.274
0.602 0.398 0.974
0.696 0.304 0.300
0.728 0.272 0.694
0.985 0.015 0.000
0.116 0.884 0.187
0.129 0.871 0.805
0.871 0.129 0.305
0.884 0.116 0.687
0.189 0.811 0.500
0.811 0.189 0.000
0.405 0.595 0.094
0.595 0.405 0.594
```

[16]
Computed, not measured: a relaxed Tb2DyHo5Th crystal at the PBE-GGA level of DFT.

- Size of the total moment: 0.000 μB/cell
- Space-group type: Cmc2_1, No. 36
- Formation energy: 0.16 eV per atom

```
Tb2DyHo5Th
1.0
2.838 -10.718 0.000
2.838 10.718 0.000
0.000 0.000 9.680
Tb Dy Ho Th
4 2 10 2
direct
0.115 0.885 0.500
0.130 0.870 0.883
0.870 0.130 0.383
0.885 0.115 0.000
0.190 0.810 0.189
0.810 0.190 0.689
0.014 0.986 0.189
0.271 0.729 0.498
0.305 0.695 0.889
0.398 0.602 0.213
0.469 0.531 0.914
0.531 0.469 0.414
0.602 0.398 0.713
0.695 0.305 0.389
0.729 0.271 0.998
0.986 0.014 0.689
0.405 0.595 0.595
0.595 0.405 0.095
```

[17]
Computed, not measured: a relaxed Tb3DyHo6Th2 crystal at the PBE-GGA level of DFT.

- Size of the total moment: 0.000 μB/cell
- Space-group type: C2/m, No. 12
- Formation energy: 0.02 eV per atom

```
Tb3DyHo6Th2
1.0
3.074 -5.321 0.000
3.074 5.321 0.000
-2.054 0.000 11.537
Tb Dy Ho Th
3 1 6 2
direct
0.000 0.000 0.000
0.334 0.666 0.000
0.666 0.334 0.000
0.500 0.500 0.500
0.080 0.417 0.252
0.246 0.246 0.748
0.417 0.080 0.252
0.583 0.920 0.748
0.754 0.754 0.252
0.920 0.583 0.748
0.167 0.833 0.500
0.833 0.167 0.500
```

[18]
Computed, not measured: a relaxed Tb6Dy3Ho2Th crystal at the PBE-GGA level of DFT.

- Size of the total moment: 0.000 μB/cell
- Space-group type: C2/m, No. 12
- Formation energy: 0.02 eV per atom

```
Tb6Dy3Ho2Th
1.0
3.078 -5.326 0.000
3.078 5.326 0.000
-2.049 0.000 11.612
Tb Dy Ho Th
6 3 2 1
direct
0.084 0.414 0.749
0.246 0.246 0.251
0.414 0.084 0.749
0.586 0.916 0.251
0.754 0.754 0.749
0.916 0.586 0.251
0.167 0.833 0.000
0.500 0.500 0.000
0.833 0.167 0.000
0.333 0.667 0.500
0.667 0.333 0.500
0.000 0.000 0.500
```